[1]
DFT (PBE-GGA) results for a relaxed KYSb2 crystal.

Computed properties:
space group: No. 216
calculated total energy: -3.99 eV per atom

Cell lengths 7.7980, 7.7980, 7.7980 Å; angles 90.00, 90.00, 90.00 degrees
Fractional coordinates of all 16 atoms:
K (0.0000, 0.0000, 0.0000)
K (0.0000, 0.5000, 0.5000)
K (0.5000, 0.0000, 0.5000)
K (0.5000, 0.5000, 0.0000)
Y (0.2500, 0.2500, 0.7500)
Y (0.2500, 0.7500, 0.2500)
Y (0.7500, 0.2500, 0.2500)
Y (0.7500, 0.7500, 0.7500)
Sb (0.0000, 0.0000, 0.5000)
Sb (0.0000, 0.5000, 0.0000)
Sb (0.2500, 0.2500, 0.2500)
Sb (0.2500, 0.7500, 0.7500)
Sb (0.5000, 0.0000, 0.0000)
Sb (0.5000, 0.5000, 0.5000)
Sb (0.7500, 0.2500, 0.7500)
Sb (0.7500, 0.7500, 0.2500)

[2]
DFT (PBE-GGA) results for a relaxed Tm4ZnPd crystal.

Computed properties:
space group: No. 123
energy of formation from the pure elements: -0.26 eV/atom

Cell lengths 4.8426, 4.8426, 6.8678 Å; angles 90.00, 90.00, 90.00 degrees
Fractional coordinates of all 6 atoms:
Tm (0.0000, 0.5000, 0.2477)
Tm (0.0000, 0.5000, 0.7523)
Tm (0.5000, 0.0000, 0.2477)
Tm (0.5000, 0.0000, 0.7523)
Zn (0.0000, 0.0000, 0.5000)
Pd (0.5000, 0.5000, 0.0000)

[3]
DFT (PBE-GGA) results for a relaxed BTePb3 crystal.

Computed properties:
space group: No. 221
calculated total energy: -3.71 eV per atom

Cell lengths 5.1970, 5.1970, 5.1970 Å; angles 90.00, 90.00, 90.00 degrees
Fractional coordinates of all 5 atoms:
B (0.0000, 0.0000, 0.0000)
Te (0.5000, 0.5000, 0.5000)
Pb (0.0000, 0.0000, 0.5000)
Pb (0.0000, 0.5000, 0.0000)
Pb (0.5000, 0.0000, 0.0000)